[1]
A plane-wave DFT calculation with GGA-PBE was carried out for crystalline LiTlGePd at its relaxed geometry.

magnetic moment: 0.000 μB/atom
total energy: -3.728 eV/atom

Cell lengths 6.5866, 6.5866, 6.5866 Å; angles 90.00, 90.00, 90.00 degrees
Space group F-43m (No. 216)
One atom of each set of equivalent atoms:
Li (0.0000, 0.0000, 0.0000) [4 per cell]
Tl (0.2500, 0.2500, 0.7500) [4 per cell]
Ge (0.2500, 0.2500, 0.2500) [4 per cell]
Pd (0.0000, 0.0000, 0.5000) [4 per cell]

=====

[2]
A plane-wave DFT calculation with GGA-PBE was carried out for crystalline LiTmGe2Pd5 at its relaxed geometry.

magnetic moment: 0.000 μB/atom
total energy: -5.219 eV/atom

Cell lengths 4.2926, 4.2926, 8.2844 Å; angles 90.00, 90.00, 90.00 degrees
Space group P4/mmm (No. 123)
One atom of each set of equivalent atoms:
Li (0.0000, 0.0000, 0.0000) [1 per cell]
Tm (0.0000, 0.0000, 0.5000) [1 per cell]
Ge (0.5000, 0.5000, 0.3518) [2 per cell]
Pd (0.0000, 0.5000, 0.2130) [4 per cell]
Pd (0.5000, 0.5000, 0.0000) [1 per cell]

=====

| no. | DFT formation energy (eV per atom) |
| --- | --- |
| 1 | -0.21 |
| 2 | -0.60 |